1.
Density functional theory data (PBE-GGA) for crystalline CsInTe at its relaxed geometry.

Output
total DFT energy (no corrections): -2.80 eV per atom
offset from the most stable computed form: 0.1186 eV per atom

a = 4.258 Å, b = 4.258 Å, c = 7.336 Å
α = 106.87°, β = 106.87°, γ = 90.00°
Fractional coordinates of all 3 atoms:
Te (0.699, 0.699, 0.398)
Cs (0.005, 0.005, 0.009)
In (0.297, 0.297, 0.593)

2.
Density functional theory data (PBE-GGA) for crystalline CsInTe at its relaxed geometry.

Output
total DFT energy (no corrections): -2.85 eV per atom
offset from the most stable computed form: 0.0678 eV per atom

a = 6.846 Å, b = 4.840 Å, c = 4.840 Å
α = 120.00°, β = 90.00°, γ = 90.00°
Fractional coordinates of all 3 atoms:
In (0.070, 0.000, 0.000)
Cs (0.650, 0.667, 0.333)
Te (0.280, 0.333, 0.667)

3.
Density functional theory data (PBE-GGA) for crystalline CsIn3Te at its relaxed geometry.

Output
total DFT energy (no corrections): -1.54 eV per atom
offset from the most stable computed form: 0.7344 eV per atom

a = 6.466 Å, b = 6.466 Å, c = 6.466 Å
α = 90.00°, β = 90.00°, γ = 90.00°
Fractional coordinates of all 5 atoms:
In (0.500, 0.000, 0.000)
In (0.000, 0.000, 0.500)
In (0.000, 0.500, 0.000)
Te (0.500, 0.500, 0.500)
Cs (0.000, 0.000, 0.000)

4.
Density functional theory data (PBE-GGA) for crystalline Cs2In4Te5 at its relaxed geometry.

Output
total DFT energy (no corrections): -3.05 eV per atom

a = 8.282 Å, b = 9.332 Å, c = 7.977 Å
α = 90.67°, β = 58.73°, γ = 63.66°
Fractional coordinates of all 11 atoms:
In (0.215, 0.507, 0.064)
In (0.785, 0.493, 0.936)
In (0.322, 0.131, 0.225)
In (0.678, 0.869, 0.775)
Te (0.000, 0.500, 0.500)
Te (0.180, 0.236, 0.909)
Te (0.676, 0.236, 0.909)
Te (0.820, 0.764, 0.091)
Te (0.324, 0.764, 0.091)
Cs (0.715, 0.185, 0.386)
Cs (0.285, 0.815, 0.614)

5.
Density functional theory data (PBE-GGA) for crystalline Cs3InTe2 at its relaxed geometry.

Output
total DFT energy (no corrections): -2.64 eV per atom

a = 8.952 Å, b = 9.252 Å, c = 10.903 Å
α = 115.11°, β = 114.24°, γ = 90.00°
Fractional coordinates of all 12 atoms:
Te (0.389, 0.627, 0.255)
Te (0.134, 0.873, 0.745)
Te (0.866, 0.127, 0.255)
Te (0.611, 0.373, 0.745)
Cs (0.761, 0.511, 0.521)
Cs (0.239, 0.989, 0.479)
Cs (0.761, 0.011, 0.521)
Cs (0.239, 0.489, 0.479)
Cs (0.500, 0.250, 0.000)
Cs (0.500, 0.750, 0.000)
In (0.000, 0.500, 0.000)
In (0.000, 0.000, 0.000)

6.
Density functional theory data (PBE-GGA) for crystalline CsInTe3 at its relaxed geometry.

Output
total DFT energy (no corrections): -2.89 eV per atom
offset from the most stable computed form: 0.0000 eV per atom

a = 7.556 Å, b = 7.556 Å, c = 7.556 Å
α = 73.05°, β = 73.05°, γ = 73.05°
Fractional coordinates of all 10 atoms:
Te (0.744, 0.316, 0.172)
Te (0.244, 0.672, 0.816)
Te (0.816, 0.244, 0.672)
Te (0.172, 0.744, 0.316)
Te (0.316, 0.172, 0.744)
Te (0.672, 0.816, 0.244)
Cs (0.244, 0.244, 0.244)
Cs (0.744, 0.744, 0.744)
In (0.494, 0.494, 0.494)
In (0.994, 0.994, 0.994)

7.
Density functional theory data (PBE-GGA) for crystalline CsIn4Te5 at its relaxed geometry.

Output
total DFT energy (no corrections): -3.09 eV per atom

a = 7.576 Å, b = 8.338 Å, c = 12.291 Å
α = 90.00°, β = 90.00°, γ = 90.00°
Fractional coordinates of all 20 atoms:
In (0.550, 0.689, 0.500)
In (0.550, 0.311, 0.500)
In (0.912, 0.500, 0.806)
In (0.450, 0.189, 0.000)
In (0.912, 0.500, 0.194)
In (0.088, 0.000, 0.694)
In (0.088, 0.000, 0.306)
In (0.450, 0.811, 0.000)
Cs (0.079, 0.500, 0.500)
Cs (0.921, 0.000, 0.000)
Te (0.770, 0.224, 0.312)
Te (0.230, 0.276, 0.812)
Te (0.770, 0.776, 0.688)
Te (0.313, 0.000, 0.500)
Te (0.230, 0.724, 0.188)
Te (0.230, 0.724, 0.812)
Te (0.770, 0.776, 0.312)
Te (0.687, 0.500, 0.000)
Te (0.230, 0.276, 0.188)
Te (0.770, 0.224, 0.688)

8.
Density functional theory data (PBE-GGA) for crystalline CsInTe3 at its relaxed geometry.

Output
total DFT energy (no corrections): -2.83 eV per atom
offset from the most stable computed form: 0.0586 eV per atom

a = 5.876 Å, b = 5.876 Å, c = 5.876 Å
α = 90.00°, β = 90.00°, γ = 90.00°
Fractional coordinates of all 5 atoms:
Te (0.000, 0.500, 0.000)
Te (0.000, 0.000, 0.500)
Te (0.500, 0.000, 0.000)
In (0.000, 0.000, 0.000)
Cs (0.500, 0.500, 0.500)

| no. | E_form (uncorrected) (eV/f.u.) |
| --- | --- |
| 1 | -1.67 |
| 2 | -1.82 |
| 3 | 4.52 |
| 4 | -5.14 |
| 5 | -4.23 |
| 6 | -1.42 |
| 7 | -3.36 |
| 8 | -1.13 |